1.
Density functional theory data (PBE-GGA) for crystalline Zn2GeTe2F2 at its relaxed geometry.

The structure in POSCAR format:
```
Zn2GeTe2F2
1.0
3.783 0.000 0.000
0.000 3.783 0.000
0.000 0.000 9.362
Zn Ge Te F
2 1 2 2
direct
0.000 0.500 0.132
0.500 0.000 0.868
0.500 0.500 0.500
0.000 0.500 0.710
0.500 0.000 0.290
0.000 0.000 0.000
0.500 0.500 0.000
```

Properties
DFT total energy: -22.762 eV/cell
Symmetry: P-4m2 (115)

2.
Density functional theory data (PBE-GGA) for crystalline DyZrTlC at its relaxed geometry.

The structure in POSCAR format:
```
DyZrTlC
1.0
3.490 0.000 0.000
-1.745 3.022 0.000
0.000 0.000 15.746
Dy Zr Tl C
2 2 2 2
direct
0.333 0.667 0.413
0.667 0.333 0.587
0.333 0.667 0.077
0.667 0.333 0.923
0.333 0.667 0.760
0.667 0.333 0.240
0.000 0.000 0.000
0.000 0.000 0.500
```

Properties
Polymorph energy (0 for the lowest one): 21 meV/atom
Spin magnetization: 0.0 μB per formula unit
Symmetry: P-3m1 (164)

3.
Density functional theory data (PBE-GGA) for crystalline KHf3As5 at its relaxed geometry.

The structure in POSCAR format:
```
KHf3As5
1.0
6.179 0.000 0.000
-3.089 5.351 0.000
0.000 0.000 6.476
K Hf As
1 3 5
direct
0.000 0.000 0.000
0.000 0.500 0.500
0.500 0.000 0.500
0.500 0.500 0.500
0.000 0.000 0.500
0.333 0.667 0.193
0.333 0.667 0.807
0.667 0.333 0.193
0.667 0.333 0.807
```

Properties
DFT total energy: -58.876 eV/cell
Spin magnetization: 0.0 μB per formula unit
Symmetry: P6/mmm (191)

4.
Density functional theory data (PBE-GGA) for crystalline DyHo3Sn2C2 at its relaxed geometry.

The structure in POSCAR format:
```
DyHo3Sn2C2
1.0
3.609 0.000 0.000
-1.804 3.125 0.000
0.000 0.000 15.806
Dy Ho Sn C
1 3 2 2
direct
0.000 0.000 0.000
0.000 0.000 0.669
0.667 0.333 0.169
0.667 0.333 0.500
0.000 0.000 0.334
0.667 0.333 0.834
0.333 0.667 0.085
0.333 0.667 0.584
```

Properties
DFT total energy: -49.211 eV/cell
Spin magnetization: 0.0 μB per formula unit
Symmetry: P3m1 (156)

5.
Density functional theory data (PBE-GGA) for crystalline TbTlZnTe3 at its relaxed geometry.

The structure in POSCAR format:
```
TbTlZnTe3
1.0
8.869 0.000 0.000
0.000 4.363 0.000
-3.623 0.000 10.584
Tb Tl Zn Te
2 2 2 6
direct
0.190 0.250 0.143
0.810 0.750 0.857
0.237 0.750 0.707
0.763 0.250 0.293
0.421 0.750 0.389
0.579 0.250 0.611
0.056 0.250 0.854
0.270 0.250 0.444
0.443 0.750 0.158
0.557 0.250 0.842
0.730 0.750 0.556
0.944 0.750 0.146
```

Properties
Polymorph energy (0 for the lowest one): 22 meV/atom
Spin magnetization: 0.0 μB per formula unit
Symmetry: P2_1/m (11)

6.
Density functional theory data (PBE-GGA) for crystalline Al3InPd4 at its relaxed geometry.

The structure in POSCAR format:
```
Al3InPd4
1.0
3.513 2.028 2.926
-3.513 2.028 2.926
0.000 -4.057 2.926
Al In Pd
3 1 4
direct
0.108 0.290 0.602
0.290 0.602 0.108
0.602 0.108 0.290
0.794 0.794 0.794
0.103 0.103 0.103
0.301 0.801 0.577
0.577 0.301 0.801
0.801 0.577 0.301
```

Properties
DFT total energy: -40.844 eV/cell
Symmetry: R3 (146)

7.
Density functional theory data (PBE-GGA) for crystalline Dy3IrF at its relaxed geometry.

The structure in POSCAR format:
```
Dy3IrF
1.0
4.661 0.000 0.000
0.000 4.661 0.000
0.000 0.000 4.661
Dy Ir F
3 1 1
direct
0.000 0.000 0.500
0.000 0.500 0.000
0.500 0.000 0.000
0.500 0.500 0.500
0.000 0.000 0.000
```

Properties
DFT total energy: -29.343 eV/cell
Spin magnetization: 0.0 μB per formula unit
Symmetry: Pm-3m (221)

8.
Density functional theory data (PBE-GGA) for crystalline LuNbNiB at its relaxed geometry.

The structure in POSCAR format:
```
LuNbNiB
1.0
0.000 3.068 3.068
3.068 0.000 3.068
3.068 3.068 0.000
Lu Nb Ni B
1 1 1 1
direct
0.000 0.000 0.000
0.250 0.250 0.250
0.750 0.750 0.750
0.500 0.500 0.500
```

Properties
Polymorph energy (0 for the lowest one): 535 meV/atom
Spin magnetization: 0.5 μB per formula unit
Symmetry: F-43m (216)

9.
Density functional theory data (PBE-GGA) for crystalline PuSbMo at its relaxed geometry.

The structure in POSCAR format:
```
PuSbMo
1.0
0.000 3.293 3.293
3.293 0.000 3.293
3.293 3.293 0.000
Pu Sb Mo
1 1 1
direct
0.000 0.000 0.000
0.250 0.250 0.250
0.750 0.750 0.750
```

Properties
Polymorph energy (0 for the lowest one): 760 meV/atom
Spin magnetization: 3.2 μB per formula unit
Symmetry: F-43m (216)

10.
Density functional theory data (PBE-GGA) for crystalline GdTmHg2 at its relaxed geometry.

The structure in POSCAR format:
```
GdTmHg2
1.0
5.175 0.000 0.000
0.000 3.382 5.886
0.000 -3.382 5.886
Gd Tm Hg
2 2 4
direct
0.000 0.000 0.000
0.500 0.365 0.365
0.000 0.508 0.982
0.000 0.982 0.508
0.000 0.503 0.503
0.500 0.350 0.853
0.500 0.837 0.837
0.500 0.853 0.350
```

Properties
Polymorph energy (0 for the lowest one): 186 meV/atom
E_form: -28.4 kJ/mol of atoms
Spin magnetization: 0.0 μB per formula unit
Symmetry: Amm2 (38)

11.
Density functional theory data (PBE-GGA) for crystalline NbAlMo at its relaxed geometry.

The structure in POSCAR format:
```
NbAlMo
1.0
0.000 3.093 3.093
3.093 0.000 3.093
3.093 3.093 0.000
Nb Al Mo
1 1 1
direct
0.000 0.000 0.000
0.500 0.500 0.500
0.750 0.750 0.750
```

Properties
Polymorph energy (0 for the lowest one): 0 meV/atom
Spin magnetization: 0.0 μB per formula unit
Symmetry: F-43m (216)

12.
Density functional theory data (PBE-GGA) for crystalline CdPt at its relaxed geometry.

The structure in POSCAR format:
```
CdPt
1.0
0.000 2.725 2.725
2.725 0.000 2.725
2.725 2.725 0.000
Cd Pt
1 1
direct
0.000 0.000 0.000
0.500 0.500 0.500
```

Properties
E_form: 9.9 kJ/mol of atoms
Spin magnetization: 0.0 μB per formula unit
Symmetry: Fm-3m (225)